No. 1
The following is a DFT calculation (PBE) of an optimized crystal structure of GdScGa2Ni4.

a b c (Å): 4.1247 4.1247 8.5165
angles (deg): 90.00 90.00 120.00
Atoms (fractional coordinates):
Ni (0.3333, 0.6667, 0.8060)
Ni (0.0000, 0.0000, 0.3370)
Ni (0.3333, 0.6667, 0.1940)
Ni (0.0000, 0.0000, 0.6630)
Ga (0.6667, 0.3333, 0.7340)
Ga (0.6667, 0.3333, 0.2660)
Sc (0.3333, 0.6667, 0.5000)
Gd (0.0000, 0.0000, 0.0000)


No. 2
The following is a DFT calculation (PBE) of an optimized crystal structure of Gd3GaNiSe7.

a b c (Å): 10.0505 10.0505 6.5257
angles (deg): 90.00 90.00 120.00
Atoms (fractional coordinates):
Se (0.8695, 0.1027, 0.2324)
Se (0.1305, 0.8973, 0.7324)
Se (0.9177, 0.4387, 0.5534)
Se (0.4790, 0.9177, 0.0534)
Se (0.8973, 0.7667, 0.2324)
Se (0.5613, 0.4790, 0.5534)
Se (0.7667, 0.8695, 0.7324)
Se (0.2333, 0.1305, 0.2324)
Se (0.6667, 0.3333, 0.0298)
Se (0.5210, 0.0823, 0.5534)
Se (0.0823, 0.5613, 0.0534)
Se (0.4387, 0.5210, 0.0534)
Se (0.1027, 0.2333, 0.7324)
Se (0.3333, 0.6667, 0.5298)
Gd (0.7856, 0.1600, 0.8229)
Gd (0.6256, 0.7856, 0.3229)
Gd (0.2144, 0.8400, 0.3229)
Gd (0.1600, 0.3744, 0.3229)
Gd (0.3744, 0.2144, 0.8229)
Gd (0.8400, 0.6256, 0.8229)
Ni (0.0000, 0.0000, 0.9992)
Ni (0.0000, 0.0000, 0.4992)
Ga (0.6667, 0.3333, 0.3988)
Ga (0.3333, 0.6667, 0.8988)


No. 3
The following is a DFT calculation (PBE) of an optimized crystal structure of TbGd2Ga3Si2Ni.

a b c (Å): 4.1762 6.9129 6.9129
angles (deg): 119.94 90.00 90.00
Atoms (fractional coordinates):
Ga (0.5000, 0.7647, 0.7647)
Ga (0.5000, 0.0006, 0.2352)
Ga (0.5000, 0.2352, 0.0006)
Gd (0.0000, 0.9998, 0.5968)
Gd (0.0000, 0.5968, 0.9998)
Ni (0.0000, 0.0009, 0.0009)
Tb (0.0000, 0.4026, 0.4026)
Si (0.5000, 0.6657, 0.3337)
Si (0.5000, 0.3337, 0.6657)


Number 1: electronic total energy -5.48 eV per atom, density 7.6 g/cm3. Number 2: electronic total energy -5.22 eV per atom, density 6.7 g/cm3. Number 3: electronic total energy -5.07 eV per atom, density 7.7 g/cm3.